Entry 1:
First-principles (GGA-PBE) data for a relaxed structure of Fe2MoIr, as listed in the Alexandria database.

ΔH_f (0 K) = 0.064 eV/atom
D(E_F) = 1.052 states/eV/atom
Final energy = -9.09 eV per atom

abc: 6.039 6.039 6.039
angles: 90.00 90.00 90.00
Space group F-43m (No. 216)
Inequivalent atoms, fractional coordinates:
Fe1 0.000 0.000 0.000 (multiplicity 4)
Fe2 0.250 0.250 0.250 (multiplicity 4)
Mo1 0.000 0.000 0.500 (multiplicity 4)
Ir1 0.250 0.250 0.750 (multiplicity 4)



Entry 2:
First-principles (GGA-PBE) data for a relaxed structure of OsIN2, as listed in the Alexandria database.

ΔE_f (raw) = 1.75 eV per atom
D(E_F) = 0.563 states/eV/atom
Final energy = -5.60 eV per atom

abc: 3.0923 3.0923 21.8788
angles: 90.00 90.00 120.00
Space group R-3m (No. 166, hexagonal axes)
Inequivalent atoms, fractional coordinates:
Os1 0.0000 0.0000 0.0000 (multiplicity 3)
I1 0.0000 0.0000 0.5000 (multiplicity 3)
N1 0.0000 0.0000 0.0835 (multiplicity 6)



Entry 3:
First-principles (GGA-PBE) data for a relaxed structure of Dy3BiSe, as listed in the Alexandria database.

ΔE_f (raw) = -0.94 eV per atom
D(E_F) = 0.758 states/eV/atom
Final energy = -5.17 eV per atom

abc: 7.397 4.186 9.752
angles: 90.00 93.68 90.00
Space group P2_1/m (No. 11)
Inequivalent atoms, fractional coordinates:
Dy1 0.129 0.250 0.123 (multiplicity 2)
Dy2 0.255 0.250 0.503 (multiplicity 2)
Dy3 0.359 0.750 0.890 (multiplicity 2)
Bi1 0.401 0.750 0.281 (multiplicity 2)
Se1 0.098 0.750 0.652 (multiplicity 2)



Entry 4:
First-principles (GGA-PBE) data for a relaxed structure of Ba2ZnAu, as listed in the Alexandria database.

ΔH_f (0 K) = -0.348 eV/atom
D(E_F) = 0.744 states/eV/atom
Final energy = -2.45 eV per atom

abc: 4.7183 4.7183 24.8361
angles: 90.00 90.00 120.00
Space group R3m (No. 160, hexagonal axes)
Inequivalent atoms, fractional coordinates:
Ba1 0.0000 0.0000 0.0000 (multiplicity 3)
Ba2 0.0000 0.0000 0.1808 (multiplicity 3)
Zn1 0.0000 0.0000 0.4237 (multiplicity 3)
Au1 0.0000 0.0000 0.5894 (multiplicity 3)